# Ce12Ga6Fe

Ce12Ga6Fe after structural relaxation (PBE-GGA, the Alexandria database).

Output
energy of formation = -0.22 eV/atom
Fermi-level density of states = 45.9 states/eV/cell
total magnetic moment = 3.0 μB per formula unit

a b c (Å): 7.5889 7.5889 7.5889
angles (deg): 88.62 88.62 88.62
Last column: nearest neighbours and their distance in Å.
Positions (direct):
Ga (0.9049, 0.2485, 0.7577)  1 Fe 2.70, 2 Ga 2.79
Ga (0.2485, 0.7577, 0.9049)  1 Fe 2.70, 2 Ga 2.79
Ga (0.7577, 0.9049, 0.2485)  1 Fe 2.70, 2 Ga 2.79
Ga (0.2423, 0.0951, 0.7515)  1 Fe 2.70, 2 Ga 2.79
Ga (0.7515, 0.2423, 0.0951)  1 Fe 2.70, 2 Ga 2.79
Ga (0.0951, 0.7515, 0.2423)  1 Fe 2.70, 2 Ga 2.79
Ce (0.6316, 0.9300, 0.8527)  3 Ce 2.84-3.15, 1 Fe 3.10, 1 Ga 3.17
Ce (0.5039, 0.5856, 0.2092)  2 Ce 2.77
Ce (0.0700, 0.1473, 0.3684)  3 Ce 2.84-3.15, 1 Fe 3.10, 1 Ga 3.17
Ce (0.1473, 0.3684, 0.0700)  3 Ce 2.84-3.15, 1 Fe 3.10, 1 Ga 3.17
Ce (0.9300, 0.8527, 0.6316)  3 Ce 2.84-3.15, 1 Fe 3.10, 1 Ga 3.17
Ce (0.8527, 0.6316, 0.9300)  3 Ce 2.84-3.15, 1 Fe 3.10, 1 Ga 3.17
Ce (0.7908, 0.4961, 0.4144)  2 Ce 2.77
Ce (0.4144, 0.7908, 0.4961)  2 Ce 2.77
Ce (0.3684, 0.0700, 0.1473)  3 Ce 2.84-3.15, 1 Fe 3.10, 1 Ga 3.17
Ce (0.2092, 0.5039, 0.5856)  2 Ce 2.77
Ce (0.5856, 0.2092, 0.5039)  2 Ce 2.77
Ce (0.4961, 0.4144, 0.7908)  2 Ce 2.77
Fe (0.0000, 0.0000, 0.0000)  6 Ga 2.70


# NdNpV

NdNpV after structural relaxation (PBE-GGA, the Alexandria database).

Output
energy of formation = 0.46 eV/atom
Fermi-level density of states = 10.5 states/eV/cell
total magnetic moment = 0.0 μB per formula unit

a b c (Å): 3.2153 6.6344 6.9893
angles (deg): 70.77 76.70 75.98
Last column: nearest neighbours and their distance in Å.
Positions (direct):
Np (0.1106, 0.8460, 0.9328)  1 V 2.19, 1 Np 2.41
Np (0.8894, 0.1540, 0.0672)  1 V 2.19, 1 Np 2.41
Nd (0.3961, 0.7737, 0.4341)  3 Nd 3.22-3.37, 4 V 3.30-3.33, 3 Np 3.36-3.56
Nd (0.6039, 0.2263, 0.5659)  3 Nd 3.22-3.37, 4 V 3.30-3.33, 3 Np 3.36-3.56
V (0.8338, 0.4807, 0.8517)  1 Np 2.19
V (0.1662, 0.5193, 0.1483)  1 Np 2.19


Question: Which value of total magnetic moment does entry 1 give?
Answer: 3.0 μB per formula unit


Question: Look up the Fermi-level density of states of the second one.
Answer: 10.5 states/eV/cell


Repeat the first record exactly.
# Ce12Ga6Fe

Ce12Ga6Fe after structural relaxation (PBE-GGA, the Alexandria database).

Output
energy of formation = -0.22 eV/atom
Fermi-level density of states = 45.9 states/eV/cell
total magnetic moment = 3.0 μB per formula unit

a b c (Å): 7.5889 7.5889 7.5889
angles (deg): 88.62 88.62 88.62
Last column: nearest neighbours and their distance in Å.
Positions (direct):
Ga (0.9049, 0.2485, 0.7577)  1 Fe 2.70, 2 Ga 2.79
Ga (0.2485, 0.7577, 0.9049)  1 Fe 2.70, 2 Ga 2.79
Ga (0.7577, 0.9049, 0.2485)  1 Fe 2.70, 2 Ga 2.79
Ga (0.2423, 0.0951, 0.7515)  1 Fe 2.70, 2 Ga 2.79
Ga (0.7515, 0.2423, 0.0951)  1 Fe 2.70, 2 Ga 2.79
Ga (0.0951, 0.7515, 0.2423)  1 Fe 2.70, 2 Ga 2.79
Ce (0.6316, 0.9300, 0.8527)  3 Ce 2.84-3.15, 1 Fe 3.10, 1 Ga 3.17
Ce (0.5039, 0.5856, 0.2092)  2 Ce 2.77
Ce (0.0700, 0.1473, 0.3684)  3 Ce 2.84-3.15, 1 Fe 3.10, 1 Ga 3.17
Ce (0.1473, 0.3684, 0.0700)  3 Ce 2.84-3.15, 1 Fe 3.10, 1 Ga 3.17
Ce (0.9300, 0.8527, 0.6316)  3 Ce 2.84-3.15, 1 Fe 3.10, 1 Ga 3.17
Ce (0.8527, 0.6316, 0.9300)  3 Ce 2.84-3.15, 1 Fe 3.10, 1 Ga 3.17
Ce (0.7908, 0.4961, 0.4144)  2 Ce 2.77
Ce (0.4144, 0.7908, 0.4961)  2 Ce 2.77
Ce (0.3684, 0.0700, 0.1473)  3 Ce 2.84-3.15, 1 Fe 3.10, 1 Ga 3.17
Ce (0.2092, 0.5039, 0.5856)  2 Ce 2.77
Ce (0.5856, 0.2092, 0.5039)  2 Ce 2.77
Ce (0.4961, 0.4144, 0.7908)  2 Ce 2.77
Fe (0.0000, 0.0000, 0.0000)  6 Ga 2.70


Question: Which of these has the lowest total magnetic moment?
Answer: NdNpV